Entry 1:
First-principles (SCAN) data for a PBEsol-optimized structure of Pm3Nd, as listed in the Alexandria database.

Summary:
formation enthalpy at 0 K = 0.7 kcal/mol of atoms
total DFT energy (no corrections) = -350.85 eV per cell
D(E_F) = 1.581 states/eV/atom
total magnetic moment = 0.0 μB/f.u.

abc: 7.1793 7.1793 5.8211
angles: 90.00 90.00 120.00
Space group P6_3/mmc (No. 194)
One atom of each set of equivalent atoms:
Pm: 0.1666 0.3331 0.2500 (multiplicity 6)
Nd: 0.3333 0.6667 0.7500 (multiplicity 2)

Entry 2:
First-principles (SCAN) data for a PBEsol-optimized structure of PmNd3, as listed in the Alexandria database.

Summary:
formation enthalpy at 0 K = 0.2 kcal/mol of atoms
total DFT energy (no corrections) = -174.69 eV per cell
D(E_F) = 1.437 states/eV/atom
total magnetic moment = 0.0 μB/f.u.

abc: 5.079 5.079 5.079
angles: 90.00 90.00 90.00
Space group Pm-3m (No. 221)
One atom of each set of equivalent atoms:
Pm: 0.000 0.000 0.000 (multiplicity 1)
Nd: 0.000 0.500 0.500 (multiplicity 3)

Entry 3:
First-principles (SCAN) data for a PBEsol-optimized structure of PmNd3, as listed in the Alexandria database.

Summary:
formation enthalpy at 0 K = 0.7 kcal/mol of atoms
total DFT energy (no corrections) = -349.22 eV per cell
D(E_F) = 1.571 states/eV/atom
total magnetic moment = 0.0 μB/f.u.

abc: 7.2021 7.2021 5.8591
angles: 90.00 90.00 120.00
Space group P6_3/mmc (No. 194)
One atom of each set of equivalent atoms:
Pm: 0.3333 0.6667 0.2500 (multiplicity 2)
Nd: 0.1667 0.3334 0.7500 (multiplicity 6)

Entry 4:
First-principles (SCAN) data for a PBEsol-optimized structure of Pm3Nd, as listed in the Alexandria database.

Summary:
formation enthalpy at 0 K = 0.2 kcal/mol of atoms
total DFT energy (no corrections) = -351.00 eV per cell
D(E_F) = 1.406 states/eV/atom
total magnetic moment = 0.0 μB/f.u.

abc: 5.059 5.059 10.107
angles: 90.00 90.00 90.00
Space group I4/mmm (No. 139)
One atom of each set of equivalent atoms:
Pm: 0.000 0.000 0.000 (multiplicity 2)
Pm: 0.000 0.500 0.250 (multiplicity 4)
Nd: 0.000 0.000 0.500 (multiplicity 2)